! RbMnAs2O GGA+U relaxed; values from VASP
! Raw total energy (eV/atom): -4.13
&SYSTEM
  ibrav = 0, nat = 5, ntyp = 4
/
ATOMIC_SPECIES
Rb 85.47 Rb.upf
Mn 54.94 Mn.upf
As 74.92 As.upf
O 16.00 O.upf
CELL_PARAMETERS angstrom
4.6596 0.0000 0.0000
0.0000 4.6596 0.0000
0.0000 0.0000 8.2652
ATOMIC_POSITIONS crystal
Rb 0.0000 0.0000 0.0000
Mn 0.0000 0.0000 0.5000
As 0.0000 0.5000 0.5000
As 0.5000 0.0000 0.5000
O 0.5000 0.5000 0.0000